Computed, not measured: a relaxed BeCu4Te crystal at the PBE level of DFT.

a b c (Å): 4.955 4.955 4.955
angles (deg): 60.00 60.00 60.00
Positions (direct):
Cu: 0.626 0.626 0.626
Te: 0.250 0.250 0.250
Cu: 0.626 0.626 0.122
Cu: 0.122 0.626 0.626
Cu: 0.626 0.122 0.626
Be: 0.000 0.000 0.000

Computed properties:
The value obtained for the uncorrected formation energy is 0.29 eV/atom. As for the total energy: -21.5 eV per cell. The value obtained for the magnetic moment is 0.0 μB per formula unit. Its space group is F-43m (216). The calculation puts the theoretical density at 7.54 g/cm3.

Computed, not measured: a relaxed ScIn2Au crystal at the PBE level of DFT.

a b c (Å): 3.449 3.449 7.583
angles (deg): 90.00 90.00 90.06
Positions (direct):
Sc: 0.000 0.000 0.533
In: 0.000 0.000 0.975
In: 0.500 0.500 0.262
Au: 0.500 0.500 0.731

Computed properties:
The formation enthalpy at 0 K is -354 meV per atom. As for the total energy: -16.5 eV per cell. The value obtained for the magnetic moment is 0.0 μB per formula unit. Its space group is P4mm (99). The calculation puts the theoretical density at 8.68 g/cm3.